DFT (PBE) results for a relaxed HoZr2Ga2 crystal.

The structure in POSCAR format:
```
HoZr2Ga2
1.0
7.7062 0.0000 0.0000
0.0000 7.7062 0.0000
0.0000 0.0000 3.5882
Ho Zr Ga
2 4 4
Cartesian
0.0000 0.0000 0.0000 Ho
3.8531 3.8531 0.0000 Ho
1.3644 2.4887 1.7941 Zr
2.4887 6.3418 1.7941 Zr
5.2175 1.3644 1.7941 Zr
6.3418 5.2175 1.7941 Zr
0.9207 4.7738 0.0000 Ga
2.9324 0.9207 0.0000 Ga
4.7738 6.7855 0.0000 Ga
6.7855 2.9324 0.0000 Ga
```

Results
- DFT formation energy: -0.476 eV/atom
- D(E_F): 1.146 states/eV per atom
- Total magnetic moment: 0.0 μB/f.u.
- Symmetry: No. 127
- V: 213.1 Å³ per cell